Computed, not measured: a geometry-optimized SrTiMoO6 structure at the PBE with a Hubbard U level of DFT.

Results
Density (g cm⁻³): 4.60
Size of the total moment (μB per cell): 0.00
Raw total energy (eV per cell): -134.5

Lattice parameters (Å, degrees): 4.9520 4.9520 9.6372 90.00 90.00 90.00
Space group P4_2nm (No. 102)
Asymmetric unit:
Sr: 0.0000 0.0000 0.0000 x2
Ti: 0.0000 0.0000 0.3351 x2
Mo: 0.0000 0.0000 0.6640 x2
O: 0.1658 0.1658 0.4973 x4
O: 0.2266 0.2266 0.7904 x4
O: 0.2329 0.2329 0.1965 x4